Here is a geometry-optimized DyCdGaSn structure from Alexandria via LeMat-Bulk. Energies are from PBE-GGA.

Properties
Space group: Pmmm
Total energy (eV per atom): -3.58
Energy of formation from the pure elements (eV per atom): -0.44

abc: 4.3685 4.5415 4.6162
angles: 90.00 90.00 90.00
Last column: nearest neighbours and their distance in Å.
Atoms (fractional coordinates):
Dy  0.0000  0.0000  0.0000  4 Ga 3.15, 4 Sn 3.18, 4 Cd 3.24
Cd  0.0000  0.5000  0.5000  4 Sn 3.15, 4 Ga 3.18, 4 Dy 3.24
Ga  0.5000  0.5000  0.0000  4 Dy 3.15, 4 Cd 3.18, 4 Sn 3.24
Sn  0.5000  0.0000  0.5000  4 Cd 3.15, 4 Dy 3.18, 4 Ga 3.24